1.
An optimized crystal structure of HoPu2Ru. Source: Alexandria, functional PBE.

Structure (POSCAR):
```
HoPu2Ru
1.0
3.3406 0.0000 0.0000
1.6703 2.8931 0.0000
1.6703 0.9644 10.4447
Ru Ho Pu
1 1 2
direct
0.5000 0.5000 0.5000
0.0000 0.0000 0.0000
0.1014 0.1014 0.6957
0.8986 0.8986 0.3043
```

Results
Total DFT energy (no corrections) in eV per atom: -10.367
N(E_F) in states/eV per cell: 13.1
Magnetization in μB per formula unit: 11.082
Formation energy from the elements in meV per atom: 262
Energy relative to the lowest polymorph listed for this composition in kJ/mol of formula units: 99

---

2.
An optimized crystal structure of HoPu2Ru. Source: Alexandria, functional PBE.

Structure (POSCAR):
```
HoPu2Ru
1.0
3.3443 0.0000 0.0000
0.0000 3.3443 0.0000
0.0000 0.0000 8.6878
Ru Ho Pu
1 1 2
direct
0.5000 0.5000 0.0000
0.5000 0.5000 0.5000
0.0000 0.0000 0.8027
0.0000 0.0000 0.1973
```

Results
Total DFT energy (no corrections) in eV per atom: -10.623
N(E_F) in states/eV per cell: 11.3
Magnetization in μB per formula unit: 10.859
Formation energy from the elements in meV per atom: 7
Energy relative to the lowest polymorph listed for this composition in kJ/mol of formula units: 0

---

3.
An optimized crystal structure of Ho2PuRu3. Source: Alexandria, functional PBE.

Structure (POSCAR):
```
Ho2PuRu3
1.0
3.2848 0.0000 0.0000
0.0000 5.5383 0.0000
-1.6424 -2.7692 6.8329
Ho Pu Ru
2 1 3
direct
0.6683 0.1683 0.3367
0.3317 0.8317 0.6633
0.0000 0.5000 0.0000
0.3492 0.3492 0.6985
0.0000 0.0000 0.0000
0.6508 0.6508 0.3015
```

Results
Total DFT energy (no corrections) in eV per atom: -8.507
N(E_F) in states/eV per cell: 8.3
Magnetization in μB per formula unit: 3.194
Formation energy from the elements in meV per atom: 45
Energy relative to the lowest polymorph listed for this composition in kJ/mol of formula units: 97

---

4.
An optimized crystal structure of HoPu2Ru3. Source: Alexandria, functional PBE.

Structure (POSCAR):
```
HoPu2Ru3
1.0
-2.1638 2.5325 0.4055
-1.7415 -0.7733 -4.4632
-3.9400 -4.1503 4.8945
Ho Pu Ru
1 2 3
direct
0.0000 0.0000 0.0000
0.0000 0.3353 0.6706
0.0000 0.6647 0.3294
0.5000 0.5000 0.0000
0.5000 0.8255 0.6509
0.5000 0.1745 0.3491
```

Results
Total DFT energy (no corrections) in eV per atom: -10.408
N(E_F) in states/eV per cell: 11.4
Magnetization in μB per formula unit: 8.304
Formation energy from the elements in meV per atom: -230

---

5.
An optimized crystal structure of Ho2PuRu. Source: Alexandria, functional PBE.

Structure (POSCAR):
```
Ho2PuRu
1.0
-0.5476 -1.1900 -6.0925
3.4418 -6.1802 0.8978
-8.1391 -4.3043 1.5723
Ho Pu Ru
8 4 4
direct
0.1722 0.6742 0.0638
0.3278 0.1742 0.4362
0.8278 0.3258 0.5638
0.6722 0.8258 0.9362
0.8278 0.3258 0.9362
0.6722 0.8258 0.5638
0.1722 0.6742 0.4362
0.3278 0.1742 0.0638
0.6518 0.5462 0.2500
0.8482 0.0462 0.2500
0.3482 0.4538 0.7500
0.1518 0.9538 0.7500
0.0139 0.3700 0.2500
0.4861 0.8700 0.2500
0.9861 0.6300 0.7500
0.5139 0.1300 0.7500
```

Results
Total DFT energy (no corrections) in eV per atom: -8.430
N(E_F) in states/eV per cell: 36.9
Magnetization in μB per formula unit: 5.736
Formation energy from the elements in meV per atom: -239
Energy relative to the lowest polymorph listed for this composition in kJ/mol of formula units: 0

---

6.
An optimized crystal structure of Ho5PuRu4. Source: Alexandria, functional PBE.

Structure (POSCAR):
```
Ho5PuRu4
1.0
-1.0160 0.2246 -4.6033
2.3423 -6.2310 -0.8210
-5.7550 -3.7592 3.5061
Ho Pu Ru
5 1 4
direct
0.1706 0.9723 0.3412
0.1659 0.4720 0.3318
0.8341 0.5280 0.6682
0.5000 0.5000 0.0000
0.8294 0.0277 0.6588
0.5000 0.0000 0.0000
0.6507 0.7453 0.3014
0.9987 0.2343 0.9973
0.3493 0.2547 0.6986
0.0013 0.7657 0.0027
```

Results
Total DFT energy (no corrections) in eV per atom: -7.714
N(E_F) in states/eV per cell: 11.1
Magnetization in μB per formula unit: 3.613
Formation energy from the elements in meV per atom: -282

---

7.
An optimized crystal structure of HoPuRu. Source: Alexandria, functional PBE.

Structure (POSCAR):
```
HoPuRu
1.0
3.3437 0.0000 0.0000
0.0000 3.3437 0.0000
-1.6719 -1.6719 6.2507
Ru Ho Pu
1 1 1
direct
0.6667 0.6667 0.3334
0.0307 0.0307 0.0614
0.3026 0.3026 0.6052
```

Results
Total DFT energy (no corrections) in eV per atom: -9.551
N(E_F) in states/eV per cell: 7.5
Magnetization in μB per formula unit: 5.579
Formation energy from the elements in meV per atom: -156
Energy relative to the lowest polymorph listed for this composition in kJ/mol of formula units: 4

---

8.
An optimized crystal structure of Ho5PuRu6. Source: Alexandria, functional PBE.

Structure (POSCAR):
```
Ho5PuRu6
1.0
-3.6872 1.6958 -2.5199
-3.4868 -5.6640 1.2917
-4.5258 3.8512 4.6689
Ru Ho Pu
6 5 1
direct
0.8399 0.7580 0.3199
0.8399 0.2420 0.3199
0.4999 0.2359 0.0000
0.5001 0.7641 0.0000
0.1601 0.7580 0.6801
0.1601 0.2420 0.6801
0.6670 0.5000 0.6661
0.3306 0.0000 0.3388
0.0000 0.5000 0.0000
0.6694 0.0000 0.6612
0.3330 0.5000 0.3339
0.0000 0.0000 0.0000
```

Results
Total DFT energy (no corrections) in eV per atom: -8.091
N(E_F) in states/eV per cell: 11.1
Magnetization in μB per formula unit: 3.043
Formation energy from the elements in meV per atom: -351

---

9.
An optimized crystal structure of Ho5Pu2Ru5. Source: Alexandria, functional PBE.

Structure (POSCAR):
```
Ho5Pu2Ru5
1.0
5.1288 0.2931 0.9516
2.7343 4.3491 0.9516
0.4401 0.2598 12.2979
Ho Pu Ru
5 2 5
direct
0.5000 0.5000 0.5000
0.3245 0.3245 0.0549
0.2410 0.2410 0.3460
0.7590 0.7590 0.6540
0.6755 0.6755 0.9451
0.0052 0.0052 0.7860
0.9948 0.9948 0.2140
0.8682 0.8682 0.4232
0.2836 0.2836 0.8010
0.7164 0.7164 0.1990
0.1318 0.1318 0.5768
0.0000 0.0000 0.0000
```

Results
Total DFT energy (no corrections) in eV per atom: -8.369
N(E_F) in states/eV per cell: 17.0
Magnetization in μB per formula unit: 9.567
Formation energy from the elements in meV per atom: -208

---

10.
An optimized crystal structure of Ho2PuRu. Source: Alexandria, functional PBE.

Structure (POSCAR):
```
Ho2PuRu
1.0
3.3798 0.0000 0.0000
0.0000 3.3798 0.0000
0.0000 0.0000 8.7532
Ru Ho Pu
1 2 1
direct
0.5000 0.5000 0.0000
0.0000 0.0000 0.8109
0.0000 0.0000 0.1891
0.5000 0.5000 0.5000
```

Results
Total DFT energy (no corrections) in eV per atom: -8.356
N(E_F) in states/eV per cell: 8.3
Magnetization in μB per formula unit: 6.812
Formation energy from the elements in meV per atom: -165
Energy relative to the lowest polymorph listed for this composition in kJ/mol of formula units: 29

---

11.
An optimized crystal structure of HoPuRu2. Source: Alexandria, functional PBE.

Structure (POSCAR):
```
HoPuRu2
1.0
3.3685 0.0000 0.0000
0.0000 3.3685 0.0000
0.0000 0.0000 6.8336
Ru Ho Pu
2 1 1
direct
0.0000 0.0000 0.7666
0.0000 0.0000 0.2334
0.5000 0.5000 0.5000
0.5000 0.5000 0.0000
```

Results
Total DFT energy (no corrections) in eV per atom: -9.649
N(E_F) in states/eV per cell: 6.3
Magnetization in μB per formula unit: 4.006
Formation energy from the elements in meV per atom: -284

---

12.
An optimized crystal structure of Ho2PuRu. Source: Alexandria, functional PBE.

Structure (POSCAR):
```
Ho2PuRu
1.0
3.7482 -0.1482 0.0000
-1.6393 6.0057 0.0000
0.0000 0.0000 9.2325
Ho Pu Ru
4 2 2
direct
0.1414 0.2829 0.4323
0.8586 0.7171 0.5677
0.8586 0.7171 0.9323
0.1414 0.2829 0.0677
0.4234 0.8464 0.2500
0.5766 0.1536 0.7500
0.7678 0.5355 0.2500
0.2322 0.4645 0.7500
```

Results
Total DFT energy (no corrections) in eV per atom: -8.415
N(E_F) in states/eV per cell: 15.9
Magnetization in μB per formula unit: 6.039
Formation energy from the elements in meV per atom: -224
Energy relative to the lowest polymorph listed for this composition in kJ/mol of formula units: 6

---

13.
An optimized crystal structure of Ho2Pu2Ru3. Source: Alexandria, functional PBE.

Structure (POSCAR):
```
Ho2Pu2Ru3
1.0
-1.3616 -2.7721 3.4394
1.5611 -1.8165 -3.9513
8.0406 2.4475 2.0487
Ho Pu Ru
2 2 3
direct
0.2517 0.1258 0.3776
0.7483 0.8742 0.6224
0.7553 0.3777 0.1328
0.2447 0.6223 0.8672
0.0000 0.0000 0.0000
0.5133 0.2566 0.7701
0.4867 0.7434 0.2299
```

Results
Total DFT energy (no corrections) in eV per atom: -9.608
N(E_F) in states/eV per cell: 12.5
Magnetization in μB per formula unit: 8.585
Formation energy from the elements in meV per atom: -230
Energy relative to the lowest polymorph listed for this composition in kJ/mol of formula units: 0

---

14.
An optimized crystal structure of Ho3PuRu8. Source: Alexandria, functional PBE.

Structure (POSCAR):
```
Ho3PuRu8
1.0
-1.2104 4.3470 -2.8147
-4.7701 2.2850 0.5559
1.1528 7.2243 5.6371
Ho Pu Ru
3 1 8
direct
0.3749 0.3749 0.8752
0.9998 0.9998 0.0007
0.4996 0.4996 0.5011
0.8749 0.8749 0.3753
0.9358 0.4379 0.1883
0.4379 0.9376 0.6869
0.4379 0.4379 0.1883
0.9376 0.9376 0.6869
0.1880 0.1880 0.4359
0.6879 0.6879 0.9364
0.4379 0.9358 0.1883
0.9376 0.4379 0.6869
```

Results
Total DFT energy (no corrections) in eV per atom: -8.782
N(E_F) in states/eV per cell: 14.6
Magnetization in μB per formula unit: 3.123
Formation energy from the elements in meV per atom: -259

---

15.
An optimized crystal structure of HoPuRu. Source: Alexandria, functional PBE.

Structure (POSCAR):
```
HoPuRu
1.0
3.3995 0.0000 0.0000
0.0000 4.7203 0.0000
0.0000 -2.3602 4.0879
Ru Ho Pu
1 1 1
direct
0.1666 0.0000 0.0000
0.6666 0.6667 0.3333
0.1668 0.3333 0.6667
```

Results
Total DFT energy (no corrections) in eV per atom: -9.432
N(E_F) in states/eV per cell: 7.5
Magnetization in μB per formula unit: 5.701
Formation energy from the elements in meV per atom: -37
Energy relative to the lowest polymorph listed for this composition in kJ/mol of formula units: 38

---

16.
An optimized crystal structure of HoPuRu. Source: Alexandria, functional PBE.

Structure (POSCAR):
```
HoPuRu
1.0
-0.1617 3.4584 3.2366
-0.2976 -1.0768 4.6059
3.7090 0.7505 2.8535
Ru Ho Pu
1 1 1
direct
0.2500 0.2500 0.2500
0.5000 0.5000 0.5000
0.0000 0.0000 0.0000
```

Results
Total DFT energy (no corrections) in eV per atom: -9.439
N(E_F) in states/eV per cell: 10.1
Magnetization in μB per formula unit: 5.082
Formation energy from the elements in meV per atom: -44
Energy relative to the lowest polymorph listed for this composition in kJ/mol of formula units: 36

---

17.
An optimized crystal structure of Ho3PuRu3. Source: Alexandria, functional PBE.

Structure (POSCAR):
```
Ho3PuRu3
1.0
6.5833 1.8503 0.7820
-1.2764 6.7182 0.7820
-0.0890 -0.1437 6.6275
Ho Pu Ru
6 2 6
direct
0.6895 0.6895 0.4792
0.1893 0.8107 0.5000
0.8107 0.1893 0.5000
0.2969 0.7031 0.0000
0.7031 0.2969 0.0000
0.3105 0.3105 0.5208
0.7935 0.7935 0.9255
0.2065 0.2065 0.0745
0.9328 0.9328 0.2018
0.9930 0.5000 0.7605
0.5000 0.9930 0.7605
0.0070 0.5000 0.2395
0.5000 0.0070 0.2395
0.0672 0.0672 0.7982
```

Results
Total DFT energy (no corrections) in eV per atom: -8.231
N(E_F) in states/eV per cell: 18.6
Magnetization in μB per formula unit: 3.795
Formation energy from the elements in meV per atom: -246

---

18.
An optimized crystal structure of HoPuRu. Source: Alexandria, functional PBE.

Structure (POSCAR):
```
HoPuRu
1.0
4.9633 0.0000 0.0000
2.4816 4.2983 0.0000
2.4816 1.4328 6.5896
Ru Pu Ho
2 2 2
direct
0.5659 0.5659 0.3022
0.4341 0.4341 0.6978
0.2967 0.2967 0.1099
0.7033 0.7033 0.8901
0.8768 0.8768 0.3695
0.1232 0.1232 0.6305
```

Results
Total DFT energy (no corrections) in eV per atom: -9.456
N(E_F) in states/eV per cell: 15.5
Magnetization in μB per formula unit: 5.716
Formation energy from the elements in meV per atom: -61
Energy relative to the lowest polymorph listed for this composition in kJ/mol of formula units: 31

---

19.
An optimized crystal structure of HoPu2Ru3. Source: Alexandria, functional PBE.

Structure (POSCAR):
```
HoPu2Ru3
1.0
3.3674 0.0000 0.0000
0.0000 3.3674 0.0000
0.0000 0.0000 10.2485
Ho Pu Ru
1 2 3
direct
0.5000 0.5000 0.5000
0.5000 0.5000 0.8338
0.5000 0.5000 0.1662
0.0000 0.0000 0.0000
0.0000 0.0000 0.6766
0.0000 0.0000 0.3234
```

Results
Total DFT energy (no corrections) in eV per atom: -10.408
N(E_F) in states/eV per cell: 13.2
Magnetization in μB per formula unit: 8.470
Formation energy from the elements in meV per atom: -230

---

20.
An optimized crystal structure of HoPuRu. Source: Alexandria, functional PBE.

Structure (POSCAR):
```
HoPuRu
1.0
3.3514 0.4225 0.1121
0.9012 6.3771 -0.0245
-0.0128 -1.6515 6.5846
Ho Pu Ru
2 2 2
direct
0.6996 0.7913 0.5812
0.4265 0.3371 0.7149
0.7047 0.7812 0.0827
0.4215 0.3471 0.2133
0.0644 0.0613 0.9066
0.0617 0.0671 0.3895
```

Results
Total DFT energy (no corrections) in eV per atom: -9.563
N(E_F) in states/eV per cell: 14.9
Magnetization in μB per formula unit: 5.547
Formation energy from the elements in meV per atom: -168
Energy relative to the lowest polymorph listed for this composition in kJ/mol of formula units: 0